1.
Below is a relaxed Pr3PtI3 crystal, with properties calculated at the PBE-GGA level.

a b c (Å): 12.599 12.599 12.599
angles (deg): 90.00 90.00 90.00
Space group I4_132 (No. 214)
Unique sites:
Pr: 0.106 0.356 0.125
Pt: 0.125 0.125 0.125
I: 0.116 0.134 0.625

**Total magnetic moment**: 0.05 Bohr magnetons per cell

=====

2.
Below is a relaxed RbPrI3 crystal, with properties calculated at the PBE-GGA level.

a b c (Å): 4.462 10.516 18.261
angles (deg): 90.00 90.00 90.00
Space group P2_12_12_1 (No. 19)
Unique sites:
Rb: 0.000 0.179 0.175
Pr: 0.001 0.880 0.955
I: 0.001 0.028 0.800
I: 0.002 0.415 0.993
I: 0.002 0.799 0.126

**Total magnetic moment**: 4.00 Bohr magnetons per cell

=====

3.
Below is a relaxed RbPrI3 crystal, with properties calculated at the PBE-GGA level.

a b c (Å): 10.519 4.464 18.277
angles (deg): 90.00 90.00 90.00
Space group Pnma (No. 62)
Unique sites:
Rb: 0.075 0.250 0.177
Pr: 0.133 0.750 0.456
I: 0.044 0.750 0.626
I: 0.165 0.750 0.011
I: 0.217 0.250 0.802

**Total magnetic moment**: 4.00 Bohr magnetons per cell

=====

4.
Below is a relaxed TbPrSbI2 crystal, with properties calculated at the PBE-GGA level.

a b c (Å): 4.4208 4.4208 11.4299
angles (deg): 90.00 90.00 120.00
Space group P3m1 (No. 156)
Unique sites:
Tb: 0.0000 0.0000 0.0000
Pr: 0.3333 0.6667 0.3040
Sb: 0.6667 0.3333 0.1438
I: 0.0000 0.0000 0.4831
I: 0.3333 0.6667 0.8317

**Total magnetic moment**: 0.00 Bohr magnetons per cell

=====

5.
Below is a relaxed PrTmSbI2 crystal, with properties calculated at the PBE-GGA level.

a b c (Å): 4.3870 4.3870 11.3589
angles (deg): 90.00 90.00 120.00
Space group P3m1 (No. 156)
Unique sites:
Pr: 0.0000 0.0000 0.0000
Tm: 0.6667 0.3333 0.6974
Sb: 0.3333 0.6667 0.8368
I: 0.0000 0.0000 0.5311
I: 0.6667 0.3333 0.1815

**Total magnetic moment**: 0.00 Bohr magnetons per cell

=====

6.
Below is a relaxed PrYSbI2 crystal, with properties calculated at the PBE-GGA level.

a b c (Å): 4.4185 4.4185 11.4238
angles (deg): 90.00 90.00 120.00
Space group P3m1 (No. 156)
Unique sites:
Pr: 0.0000 0.0000 0.0000
Y: 0.6667 0.3333 0.6964
Sb: 0.3333 0.6667 0.8396
I: 0.0000 0.0000 0.5286
I: 0.6667 0.3333 0.1793

**Total magnetic moment**: 0.00 Bohr magnetons per cell

=====

7.
Below is a relaxed Pr4SiI5 crystal, with properties calculated at the PBE-GGA level.

a b c (Å): 19.788 4.351 9.158
angles (deg): 90.00 102.77 90.00
Space group C2/m (No. 12)
Unique sites:
Pr: 0.000 0.000 0.214
Pr: 0.147 0.500 0.074
Si: 0.000 0.500 0.000
I: 0.000 0.500 0.500
I: 0.167 0.000 0.337
I: 0.171 0.000 0.826

**Total magnetic moment**: 0.03 Bohr magnetons per cell

=====

8.
Below is a relaxed PrSiI crystal, with properties calculated at the PBE-GGA level.

a b c (Å): 4.2104 4.2104 12.4130
angles (deg): 90.00 90.00 120.00
Space group P-3m1 (No. 164)
Unique sites:
Pr: 0.0000 0.0000 0.1620
Si: 0.3333 0.6667 0.9950
I: 0.3333 0.6667 0.3351

**Total magnetic moment**: 0.01 Bohr magnetons per cell

=====

So what do the calculations give for E_tot? Going down the list: -4.812, -3.443, -3.443, -4.633, -4.558, -5.005, -4.479, -4.985 eV per atom.